(1)
## MgBeCu (meta-GGA SCAN)

Data for MgBeCu at its PBEsol-relaxed geometry.

V = 15.2 Å³/atom

abc: 5.675 5.675 5.675
angles: 90.00 90.00 90.00
Space group F-43m (No. 216)
Asymmetric unit:
Mg  0.000  0.000  0.000 [4 per cell]
Be  0.000  0.000  0.500 [4 per cell]
Cu  0.250  0.250  0.250 [4 per cell]



(2)
## MgBe4Cu (meta-GGA SCAN)

Data for MgBe4Cu at its PBEsol-relaxed geometry.

V = 10.0 Å³/atom

abc: 6.205 6.205 6.205
angles: 90.00 90.00 90.00
Space group F-43m (No. 216)
Asymmetric unit:
Mg  0.000  0.000  0.000 [4 per cell]
Be  0.124  0.124  0.624 [16 per cell]
Cu  0.250  0.250  0.250 [4 per cell]



(3)
## MgBe2Cu (meta-GGA SCAN)

Data for MgBe2Cu at its PBEsol-relaxed geometry.

V = 12.1 Å³/atom

abc: 2.6388 2.6388 24.1409
angles: 90.00 90.00 120.00
Space group R-3m (No. 166, hexagonal axes)
Asymmetric unit:
Mg  0.0000  0.0000  0.0000 [3 per cell]
Be  0.0000  0.0000  0.2396 [6 per cell]
Cu  0.0000  0.0000  0.5000 [3 per cell]



(4)
## MgBeCu2 (meta-GGA SCAN)

Data for MgBeCu2 at its PBEsol-relaxed geometry.

V = 12.0 Å³/atom

abc: 2.772 2.772 6.245
angles: 90.00 90.00 90.00
Space group P4/mmm (No. 123)
Asymmetric unit:
Mg  0.000  0.000  0.000 [1 per cell]
Be  0.000  0.000  0.500 [1 per cell]
Cu  0.500  0.500  0.301 [2 per cell]



(5)
## Mg2BeCu (meta-GGA SCAN)

Data for Mg2BeCu at its PBEsol-relaxed geometry.

V = 14.7 Å³/atom

abc: 3.054 4.387 8.780
angles: 90.00 90.00 90.00
Space group Imm2 (No. 44)
Asymmetric unit:
Mg  0.000  0.000  0.000 [2 per cell]
Mg  0.000  0.500  0.213 [2 per cell]
Be  0.000  0.500  0.764 [2 per cell]
Cu  0.000  0.000  0.447 [2 per cell]



(6)
## MgBeCu2 (meta-GGA SCAN)

Data for MgBeCu2 at its PBEsol-relaxed geometry.

V = 12.3 Å³/atom

abc: 2.912 2.912 5.806
angles: 90.00 90.00 90.00
Space group P4mm (No. 99)
Asymmetric unit:
Mg  0.000  0.000  0.000 [1 per cell]
Be  0.500  0.500  0.306 [1 per cell]
Cu  0.000  0.000  0.473 [1 per cell]
Cu  0.500  0.500  0.713 [1 per cell]



(7)
## MgBeCuP2 (meta-GGA SCAN)

Data for MgBeCuP2 at its PBEsol-relaxed geometry.

V = 19.2 Å³/atom

abc: 4.627 4.627 4.475
angles: 90.00 90.00 90.00
Space group P4/mmm (No. 123)
Asymmetric unit:
Mg  0.000  0.000  0.000 [1 per cell]
Be  0.000  0.000  0.500 [1 per cell]
Cu  0.500  0.500  0.500 [1 per cell]
P  0.000  0.500  0.000 [2 per cell]



(8)
## MnBeCu (meta-GGA SCAN)

Data for MnBeCu at its PBEsol-relaxed geometry.

V = 10.1 Å³/atom

abc: 2.516 2.516 9.545
angles: 90.00 90.00 90.00
Space group I4mm (No. 107)
Asymmetric unit:
Mn  0.000  0.000  0.000 [2 per cell]
Be  0.000  0.000  0.654 [2 per cell]
Cu  0.000  0.000  0.306 [2 per cell]



Number 1: DFT formation energy 1.02 eV per formula unit, theoretical density 3.52 Mg/m³, energy -7.8343 eV/atom. Number 2: DFT formation energy -0.28 eV per formula unit, theoretical density 3.44 Mg/m³, energy -6.3118 eV/atom. Number 3: DFT formation energy 1.30 eV per formula unit, theoretical density 3.62 Mg/m³, energy -6.8939 eV/atom. Number 4: DFT formation energy -0.56 eV per formula unit, theoretical density 5.55 Mg/m³, energy -10.0727 eV/atom. Number 5: DFT formation energy 0.17 eV per formula unit, theoretical density 3.42 Mg/m³, energy -7.3319 eV/atom. Number 6: DFT formation energy -0.08 eV per formula unit, theoretical density 5.41 Mg/m³, energy -9.9504 eV/atom. Number 7: DFT formation energy 7.04 eV per formula unit, theoretical density 2.75 Mg/m³, energy -7.6576 eV/atom. Number 8: DFT formation energy -0.32 eV per formula unit, theoretical density 7.01 Mg/m³, energy -12.7083 eV/atom.